Record 1
YSiCl: optimized geometry, PBE-GGA.

abc: 7.8945 7.8945 3.3020
angles: 77.93 77.93 24.14
Positions (direct):
Si 0.2846 0.2846 0.7154
Cl 0.0509 0.0509 0.9491
Y 0.6644 0.6644 0.3356

## Properties
* energy: -5.25 eV/atom

***

Record 2
YSiCl: optimized geometry, PBE-GGA.

abc: 4.8538 4.8538 4.8538
angles: 60.00 60.00 60.00
Site moments in Bohr magnetons follow the coordinates.
Positions (direct):
Si 0.7500 0.7500 0.7500  0.24
Y 0.0000 0.0000 0.0000  0.30
Cl 0.5000 0.5000 0.5000  0.15

## Properties
* energy: -4.57 eV/atom